DFT (PBE) results for a geometry-optimized TmPS4Br structure.

Cell: 7.629 7.629 9.148 Å, 95.40 95.40 57.22°
Element x y z (fractional)
P  0.361  0.361  0.286
P  0.639  0.639  0.714
Br  0.978  0.978  0.802
Br  0.022  0.022  0.198
S  0.064  0.495  0.170
S  0.342  0.342  0.498
S  0.495  0.064  0.170
S  0.507  0.507  0.268
S  0.505  0.936  0.830
S  0.658  0.658  0.502
S  0.493  0.493  0.732
S  0.936  0.505  0.830
Tm  0.845  0.845  0.010
Tm  0.155  0.155  0.990

Volume, A^3/atom: 31.79
Raw formation energy, eV/f.u.: -5.254
Theoretical density, g cm⁻³: 3.0